{
  "formula": "SrHfBi2",
  "functional": "meta-GGA SCAN",
  "state": "PBEsol geometry",
  "formation_enthalpy_0k_mev_per_atom": -233,
  "crystal_system": "tetragonal",
  "sg": "I-42d",
  "magmom_total_mub_per_fu": 0.0,
  "lattice": [[-5.7140, 1.7084, 3.4466], [4.5561, -4.0317, 3.2303], [3.2891, 5.9303, -1.2092]],
  "species": ["Sr", "Sr", "Hf", "Hf", "Bi", "Bi", "Bi", "Bi"],
  "fractional_positions": [[0.5000, 0.5000, 0.0000], [0.7500, 0.2500, 0.5000], [0.0000, 0.0000, 0.0000], [0.2500, 0.7500, 0.5000], [0.9058, 0.8750, 0.5308], [0.3442, 0.3750, 0.4692], [0.1250, 0.6558, 0.0308], [0.6250, 0.0942, 0.9692]]
}